Record 1
TlCdC3, relaxed, DFT GGA-PBE; excess energy over the best structure of this formula in the dataset = 197.5 meV per atom; DFT total energy = -2.84 eV/atom; ΔE_f = 3348 meV per atom
1.0
4.472 0.000 0.000
0.000 4.472 0.000
0.000 0.000 4.472
Tl Cd C
1 1 3
direct
0.000 0.000 0.000 Tl
0.500 0.500 0.500 Cd
0.000 0.000 0.500 C
0.000 0.500 0.000 C
0.500 0.000 0.000 C

***

Record 2
AcPm12Tl6, relaxed, DFT GGA-PBE; DFT total energy = -4.02 eV/atom; ΔE_f = -53 meV per atom
1.0
7.042 4.065 3.883
-7.042 4.065 3.883
0.000 -8.131 3.883
Ac Pm Tl
1 12 6
direct
0.000 0.000 0.000 Ac
0.116 0.500 0.884 Pm
0.116 0.884 0.500 Pm
0.176 0.442 0.442 Pm
0.442 0.176 0.442 Pm
0.442 0.442 0.176 Pm
0.500 0.116 0.884 Pm
0.500 0.884 0.116 Pm
0.558 0.558 0.824 Pm
0.558 0.824 0.558 Pm
0.824 0.558 0.558 Pm
0.884 0.116 0.500 Pm
0.884 0.500 0.116 Pm
0.249 0.249 0.712 Tl
0.249 0.712 0.249 Tl
0.288 0.751 0.751 Tl
0.712 0.249 0.249 Tl
0.751 0.288 0.751 Tl
0.751 0.751 0.288 Tl

***

Record 3
BaCuAsF, relaxed, DFT GGA-PBE; energy relative to the elements, uncorrected = -1.75 eV/atom; DFT total energy = -4.88 eV/atom
1.0
4.315 0.000 0.000
0.000 4.315 0.000
0.000 0.000 9.031
Ba Cu As F
2 2 2 2
direct
0.250 0.250 0.174 Ba
0.750 0.750 0.826 Ba
0.250 0.750 0.500 Cu
0.750 0.250 0.500 Cu
0.250 0.250 0.634 As
0.750 0.750 0.366 As
0.250 0.750 0.000 F
0.750 0.250 0.000 F